A geometry-optimized Rb3CoF6 structure. Source: Alexandria via LeMat-Bulk, functional PBEsol.

Results
Formation energy without anion corrections: -2443 meV/atom
Magnetic moment: 0.2 Bohr magnetons per cell
Total DFT energy (no corrections): -46.81 eV/cell
Space group: Fm-3m (225)

Cell: 6.2426 6.2426 6.2426 Å, 60.00 60.00 60.00°
With the nearest neighbours (Å) after each atom.
Atoms (fractional coordinates):
Rb: 0.0000 0.0000 0.0000  6 F 2.57
Rb: 0.2500 0.2500 0.2500  12 F 3.14
Rb: 0.7500 0.7500 0.7500  12 F 3.14
Co: 0.5000 0.5000 0.5000  6 F 1.84
F: 0.2915 0.2915 0.7085  1 Co 1.84
F: 0.2915 0.7085 0.2915  1 Co 1.84
F: 0.2915 0.7085 0.7085  1 Co 1.84
F: 0.7085 0.2915 0.2915  1 Co 1.84
F: 0.7085 0.2915 0.7085  1 Co 1.84
F: 0.7085 0.7085 0.2915  1 Co 1.84